1.
Below is a relaxed structure of TcMo2Ru, with properties calculated at the GGA-PBE level.

- Total energy: -10.16 eV per atom
- Distance to the lowest polymorph of the same formula: 64 meV/atom
- DOS(E_F): 4.82 states/eV per cell
- Formation energy from the elements: 0.166 eV/atom

abc: 9.2424 9.2424 9.2424
angles: 17.21 17.21 17.21
Closest atoms and distances in Å follow each position.
Fractional positions:
Mo 0.5003 0.5003 0.5003  6 Mo 2.77, 3 Ru 2.77, 3 Tc 2.79
Mo 0.9997 0.9997 0.9997  6 Mo 2.77, 3 Ru 2.77, 3 Tc 2.79
Tc 0.7500 0.7500 0.7500  6 Tc 2.77, 6 Mo 2.79
Ru 0.2500 0.2500 0.2500  6 Ru 2.77, 6 Mo 2.77

---

2.
Below is a relaxed structure of Ac2TmS4, with properties calculated at the GGA-PBE level.

- ΔE_f (raw): -2.033 eV per atom
- Total energy: -6.20 eV per atom
- Distance to the lowest polymorph of the same formula: 29 meV/atom
- DOS(E_F): 13.89 states/eV per cell

abc: 7.0154 7.7148 14.6846
angles: 90.00 90.00 90.00
Closest atoms and distances in Å follow each position.
Fractional positions:
S 0.3110 0.7014 0.9608  2 Tm 2.72-2.74, 1 Ac 3.03
S 0.8110 0.7986 0.0392  2 Tm 2.72-2.74, 1 Ac 3.03
Ac 0.0012 0.5946 0.3592  6 S 2.96-3.07
Tm 0.0000 0.5000 0.0000  6 S 2.72-2.74
S 0.6119 0.4620 0.3237  1 Tm 2.72, 3 Ac 2.96-2.99
Ac 0.0012 0.9054 0.8592  6 S 2.96-3.07
S 0.8881 0.9620 0.3237  1 Tm 2.72, 3 Ac 2.96-2.99
S 0.8110 0.7014 0.5392  2 Tm 2.72-2.74, 1 Ac 3.03
Ac 0.5012 0.5946 0.1408  6 S 2.96-3.07
Tm 0.0000 0.0000 0.5000  6 S 2.72-2.74
S 0.1890 0.2986 0.4608  2 Tm 2.72-2.74, 1 Ac 3.03
S 0.1890 0.2014 0.9608  2 Tm 2.72-2.74, 1 Ac 3.03
S 0.6119 0.0380 0.8237  1 Tm 2.72, 3 Ac 2.96-2.99
S 0.3110 0.7986 0.4608  2 Tm 2.72-2.74, 1 Ac 3.03
S 0.1119 0.4620 0.1763  1 Tm 2.72, 3 Ac 2.96-2.99
S 0.6890 0.2986 0.0392  2 Tm 2.72-2.74, 1 Ac 3.03
S 0.1119 0.0380 0.6763  1 Tm 2.72, 3 Ac 2.96-2.99
S 0.6890 0.2014 0.5392  2 Tm 2.72-2.74, 1 Ac 3.03
Ac 0.9988 0.4054 0.6408  6 S 2.96-3.07
S 0.8881 0.5380 0.8237  1 Tm 2.72, 3 Ac 2.96-2.99
S 0.3881 0.5380 0.6763  1 Tm 2.72, 3 Ac 2.96-2.99
Tm 0.5000 0.5000 0.5000  6 S 2.72-2.74
Ac 0.4988 0.4054 0.8592  6 S 2.96-3.07
Ac 0.5012 0.9054 0.6408  6 S 2.96-3.07
S 0.3881 0.9620 0.1763  1 Tm 2.72, 3 Ac 2.96-2.99
Ac 0.9988 0.0946 0.1408  6 S 2.96-3.07
Tm 0.5000 0.0000 0.0000  6 S 2.72-2.74
Ac 0.4988 0.0946 0.3592  6 S 2.96-3.07

---

3.
Below is a relaxed structure of KGaB3, with properties calculated at the GGA-PBE level.

- Total energy: -1.64 eV per atom
- Distance to the lowest polymorph of the same formula: 1463 meV/atom
- DOS(E_F): 5.44 states/eV per cell
- Formation energy from the elements: 3.193 eV/atom

abc: 5.0232 5.0232 5.0232
angles: 90.00 90.00 90.00
Closest atoms and distances in Å follow each position.
Fractional positions:
B 0.0000 0.0000 0.5000  2 K 2.51
B 0.0000 0.5000 0.0000  2 K 2.51
K 0.0000 0.0000 0.0000  6 B 2.51
Ga 0.5000 0.5000 0.5000  12 B 3.55
B 0.5000 0.0000 0.0000  2 K 2.51